VASP calculation (GGA-PBE) on a relaxed structure of Er4Ni.

Lattice parameters (Å, degrees): 7.4477 7.4477 7.4477 60.00 60.00 60.00
Last column: nearest neighbours and their distance in Å.
Fractional coordinates of all 10 atoms:
Er  0.2133  0.7622  0.7622  1 Ni 2.50
Er  0.2378  0.2378  0.2378  1 Ni 2.50
Er  0.2378  0.2378  0.7867  1 Ni 2.50
Er  0.2378  0.7867  0.2378  1 Ni 2.50
Er  0.7622  0.2133  0.7622  1 Ni 2.50
Er  0.7622  0.7622  0.2133  1 Ni 2.50
Er  0.7622  0.7622  0.7622  1 Ni 2.50
Er  0.7867  0.2378  0.2378  1 Ni 2.50
Ni  0.3750  0.3750  0.3750  4 Er 2.50
Ni  0.6250  0.6250  0.6250  4 Er 2.50

- calculated volume (A^3/atom) = 29.2
- space-group type = Fd-3m
- ΔE_f (eV/atom) = 0.24